1.
Density functional theory data (PBE) for GdEr2Hg after structural relaxation.

Its energy above the most stable polymorph in this dataset is 64.0 meV per atom. Its energy relative to the elements is -0.1572 eV per atom.

It has space group R-3m (No. 166, hexagonal axes), with a = 3.5801 Å, b = 3.5801 Å, c = 31.5935 Å, α = 90.00°, β = 90.00° and γ = 120.00°. The inequivalent atoms are Gd at (0.0000, 0.0000, 0.0000), Er at (0.0000, 0.0000, 0.2422) and Hg at (0.0000, 0.0000, 0.5000).

=====

2.
Density functional theory data (PBE) for GdErHgIr after structural relaxation.

Its energy relative to the elements is -0.6114 eV per atom.

It has space group F-43m (No. 216), with a = 7.127 Å, b = 7.127 Å, c = 7.127 Å, α = 90.00°, β = 90.00° and γ = 90.00°. The inequivalent atoms are Gd at (0.000, 0.000, 0.000), Er at (0.000, 0.000, 0.500), Hg at (0.250, 0.250, 0.250) and Ir at (0.250, 0.250, 0.750).

=====

3.
Density functional theory data (PBE) for GdErMgHg after structural relaxation.

Its energy relative to the elements is -0.2763 eV per atom.

It has space group F-43m (No. 216), with a = 7.482 Å, b = 7.482 Å, c = 7.482 Å, α = 90.00°, β = 90.00° and γ = 90.00°. The inequivalent atoms are Gd at (0.000, 0.000, 0.000), Er at (0.000, 0.000, 0.500), Mg at (0.250, 0.250, 0.750) and Hg at (0.250, 0.250, 0.250).

=====

4.
Density functional theory data (PBE) for GdErMnHg after structural relaxation.

Its energy relative to the elements is -0.0941 eV per atom.

It has space group F-43m (No. 216), with a = 7.279 Å, b = 7.279 Å, c = 7.279 Å, α = 90.00°, β = 90.00° and γ = 90.00°. The inequivalent atoms are Gd at (0.000, 0.000, 0.000), Er at (0.000, 0.000, 0.500), Mn at (0.250, 0.250, 0.750) and Hg at (0.250, 0.250, 0.250).

=====

5.
Density functional theory data (PBE) for NaGdErHg after structural relaxation.

Its energy relative to the elements is -0.0575 eV per atom.

It has space group F-43m (No. 216), with a = 7.559 Å, b = 7.559 Å, c = 7.559 Å, α = 90.00°, β = 90.00° and γ = 90.00°. The inequivalent atoms are Na at (0.000, 0.000, 0.000), Gd at (0.250, 0.250, 0.750), Er at (0.250, 0.250, 0.250) and Hg at (0.000, 0.000, 0.500).

=====

6.
Density functional theory data (PBE) for GdErNiHg after structural relaxation.

Its energy relative to the elements is -0.3526 eV per atom.

It has space group F-43m (No. 216), with a = 7.147 Å, b = 7.147 Å, c = 7.147 Å, α = 90.00°, β = 90.00° and γ = 90.00°. The inequivalent atoms are Gd at (0.000, 0.000, 0.000), Er at (0.000, 0.000, 0.500), Ni at (0.250, 0.250, 0.250) and Hg at (0.250, 0.250, 0.750).

=====

7.
Density functional theory data (PBE) for GdErHgOs after structural relaxation.

Its energy relative to the elements is -0.2511 eV per atom.

It has space group F-43m (No. 216), with a = 7.096 Å, b = 7.096 Å, c = 7.096 Å, α = 90.00°, β = 90.00° and γ = 90.00°. The inequivalent atoms are Gd at (0.000, 0.000, 0.000), Er at (0.000, 0.000, 0.500), Hg at (0.250, 0.250, 0.250) and Os at (0.250, 0.250, 0.750).

=====

8.
Density functional theory data (PBE) for GdErHgPb after structural relaxation.

Its energy relative to the elements is -0.4623 eV per atom.

It has space group F-43m (No. 216), with a = 7.561 Å, b = 7.561 Å, c = 7.561 Å, α = 90.00°, β = 90.00° and γ = 90.00°. The inequivalent atoms are Gd at (0.000, 0.000, 0.000), Er at (0.000, 0.000, 0.500), Hg at (0.250, 0.250, 0.250) and Pb at (0.250, 0.250, 0.750).

=====

9.
Density functional theory data (PBE) for GdErHgPd after structural relaxation.

Its energy relative to the elements is -0.6423 eV per atom.

It has space group F-43m (No. 216), with a = 7.236 Å, b = 7.236 Å, c = 7.236 Å, α = 90.00°, β = 90.00° and γ = 90.00°. The inequivalent atoms are Gd at (0.000, 0.000, 0.000), Er at (0.000, 0.000, 0.500), Hg at (0.250, 0.250, 0.750) and Pd at (0.250, 0.250, 0.250).

=====

10.
Density functional theory data (PBE) for PrGdErHg after structural relaxation.

Its energy relative to the elements is -0.0807 eV per atom.

It has space group F-43m (No. 216), with a = 7.763 Å, b = 7.763 Å, c = 7.763 Å, α = 90.00°, β = 90.00° and γ = 90.00°. The inequivalent atoms are Pr at (0.000, 0.000, 0.000), Gd at (0.000, 0.000, 0.500), Er at (0.250, 0.250, 0.250) and Hg at (0.250, 0.250, 0.750).

=====

11.
Density functional theory data (PBE) for GdErHgRu after structural relaxation.

Its energy relative to the elements is -0.3495 eV per atom.

It has space group F-43m (No. 216), with a = 7.116 Å, b = 7.116 Å, c = 7.116 Å, α = 90.00°, β = 90.00° and γ = 90.00°. The inequivalent atoms are Gd at (0.000, 0.000, 0.000), Er at (0.000, 0.000, 0.500), Hg at (0.250, 0.250, 0.750) and Ru at (0.250, 0.250, 0.250).

=====

12.
Density functional theory data (PBE) for GdErScHg after structural relaxation.

Its energy relative to the elements is -0.0843 eV per atom.

It has space group F-43m (No. 216), with a = 7.506 Å, b = 7.506 Å, c = 7.506 Å, α = 90.00°, β = 90.00° and γ = 90.00°. The inequivalent atoms are Gd at (0.000, 0.000, 0.000), Er at (0.000, 0.000, 0.500), Sc at (0.250, 0.250, 0.250) and Hg at (0.250, 0.250, 0.750).

=====

13.
Density functional theory data (PBE) for GdYErHg after structural relaxation.

Its energy relative to the elements is -0.0706 eV per atom.

It has space group F-43m (No. 216), with a = 7.657 Å, b = 7.657 Å, c = 7.657 Å, α = 90.00°, β = 90.00° and γ = 90.00°. The inequivalent atoms are Gd at (0.000, 0.000, 0.000), Y at (0.000, 0.000, 0.500), Er at (0.250, 0.250, 0.750) and Hg at (0.250, 0.250, 0.250).

=====

14.
Density functional theory data (PBE) for GdErZnHg after structural relaxation.

Its energy relative to the elements is -0.4020 eV per atom.

It has space group F-43m (No. 216), with a = 7.317 Å, b = 7.317 Å, c = 7.317 Å, α = 90.00°, β = 90.00° and γ = 90.00°. The inequivalent atoms are Gd at (0.000, 0.000, 0.000), Er at (0.000, 0.000, 0.500), Zn at (0.250, 0.250, 0.750) and Hg at (0.250, 0.250, 0.250).

=====

15.
Density functional theory data (PBE) for Gd4HoEr after structural relaxation.

Its energy relative to the elements is 0.2554 eV per atom.

It has space group F-43m (No. 216), with a = 9.263 Å, b = 9.263 Å, c = 9.263 Å, α = 90.00°, β = 90.00° and γ = 90.00°. The inequivalent atoms are Gd at (0.125, 0.125, 0.125), Ho at (0.250, 0.250, 0.750) and Er at (0.000, 0.000, 0.500).

=====

16.
Density functional theory data (PBE) for Gd2HoEr after structural relaxation.

Its energy above the most stable polymorph in this dataset is 74.1 meV per atom. Its energy relative to the elements is 0.1009 eV per atom.

It has space group Fm-3m (No. 225), with a = 7.990 Å, b = 7.990 Å, c = 7.990 Å, α = 90.00°, β = 90.00° and γ = 90.00°. The inequivalent atoms are Gd at (0.250, 0.250, 0.250), Ho at (0.000, 0.000, 0.000) and Er at (0.000, 0.000, 0.500).

=====

17.
Density functional theory data (PBE) for GdHoEr2 after structural relaxation.

Its energy above the most stable polymorph in this dataset is 97.3 meV per atom. Its energy relative to the elements is 0.1204 eV per atom.

It has space group Fm-3m (No. 225), with a = 7.961 Å, b = 7.961 Å, c = 7.961 Å, α = 90.00°, β = 90.00° and γ = 90.00°. The inequivalent atoms are Gd at (0.000, 0.000, 0.000), Ho at (0.000, 0.000, 0.500) and Er at (0.250, 0.250, 0.250).

=====

18.
Density functional theory data (PBE) for Gd2HoEr after structural relaxation.

Its energy above the most stable polymorph in this dataset is 1.4 meV per atom. Its energy relative to the elements is 0.0282 eV per atom.

It has space group P4/mmm (No. 123), with a = 3.547 Å, b = 3.547 Å, c = 10.018 Å, α = 90.00°, β = 90.00° and γ = 90.00°. The inequivalent atoms are Gd at (0.000, 0.000, 0.249), Ho at (0.500, 0.500, 0.500) and Er at (0.500, 0.500, 0.000).

=====

19.
Density functional theory data (PBE) for GdHoEr2 after structural relaxation.

Its energy above the most stable polymorph in this dataset is 2.5 meV per atom. Its energy relative to the elements is 0.0256 eV per atom.

It has space group P4/mmm (No. 123), with a = 3.527 Å, b = 3.527 Å, c = 9.987 Å, α = 90.00°, β = 90.00° and γ = 90.00°. The inequivalent atoms are Gd at (0.000, 0.000, 0.000), Ho at (0.000, 0.000, 0.500) and Er at (0.500, 0.500, 0.253).

=====

20.
Density functional theory data (PBE) for GdHoEr4 after structural relaxation.

Its energy relative to the elements is 0.2481 eV per atom.

It has space group F-43m (No. 216), with a = 9.230 Å, b = 9.230 Å, c = 9.230 Å, α = 90.00°, β = 90.00° and γ = 90.00°. The inequivalent atoms are Gd at (0.000, 0.000, 0.000), Ho at (0.250, 0.250, 0.250) and Er at (0.125, 0.125, 0.625).